Below is a relaxed Sm7Tl5Hg crystal, with properties calculated at the PBE-GGA level.

Structure (POSCAR):
```
Sm7Tl5Hg
1.0
6.804 0.000 0.000
3.402 7.662 0.058
3.402 0.033 7.662
Tl Sm Hg
5 7 1
Direct
0.518 0.001 0.476
0.006 0.001 0.476
0.770 0.730 0.730
0.518 0.476 0.001
0.006 0.476 0.001
0.259 0.741 0.741
0.524 0.800 0.153
0.279 0.221 0.221
0.005 0.309 0.680
0.005 0.680 0.309
0.624 0.376 0.376
0.524 0.153 0.800
0.963 0.037 0.037
```

## Properties
- Symmetry: Imm2
- Energy: -47.6 eV for the cell shown
- Formation energy from the elements: -2.39 eV per formula unit

Below is a relaxed LiYNi crystal, with properties calculated at the PBE-GGA level.

Structure (POSCAR):
```
LiYNi
1.0
5.242 -0.144 0.154
4.191 3.149 0.213
1.052 0.276 3.282
Ni Li Y
1 1 1
Direct
0.339 0.339 0.661
0.977 0.977 0.023
0.683 0.683 0.317
```

## Properties
- Symmetry: I4mm
- Energy: -14.4 eV for the cell shown
- Formation energy from the elements: -0.25 eV per formula unit